This record from Alexandria via LeMat-Bulk describes BeWAu at its PBEsol-relaxed geometry. The functional is SCAN.

Calculated values
Energy of formation from the pure elements, eV per atom: 0.3012
M_tot, μB/cell: 0.00
Symmetry: P3m1

a b c (Å): 2.756 2.756 6.424
angles (deg): 90.00 90.00 120.00
Element x y z (fractional)
Au1 0.000 0.000 0.975
Be1 0.333 0.667 0.670
W1 0.667 0.333 0.355

***

This record from Alexandria via LeMat-Bulk describes BeWAu2 at its PBEsol-relaxed geometry. The functional is SCAN.

Calculated values
Energy of formation from the pure elements, eV per atom: 0.3837
M_tot, μB/cell: 0.00
Symmetry: P4/mmm

a b c (Å): 2.749 4.719 4.719
angles (deg): 90.00 90.00 90.00
Element x y z (fractional)
W1 0.500 0.000 0.000
Au1 0.000 0.500 0.000
Au2 0.000 0.000 0.500
Be1 0.500 0.500 0.500

***

This record from Alexandria via LeMat-Bulk describes BeWAu2 at its PBEsol-relaxed geometry. The functional is SCAN.

Calculated values
Energy of formation from the pure elements, eV per atom: 0.4928
M_tot, μB/cell: 0.00
Symmetry: P4/mmm

a b c (Å): 3.706 3.706 4.322
angles (deg): 90.00 90.00 90.00
Element x y z (fractional)
Au1 0.000 0.500 0.000
W1 0.000 0.000 0.500
Be1 0.500 0.500 0.500
Au2 0.500 0.000 0.000

***

This record from Alexandria via LeMat-Bulk describes YBe2Au at its PBEsol-relaxed geometry. The functional is SCAN.

Calculated values
Energy of formation from the pure elements, eV per atom: -0.3226
M_tot, μB/cell: 0.00
Symmetry: Amm2

a b c (Å): 3.339 3.674 5.345
angles (deg): 90.00 108.20 90.00
Element x y z (fractional)
Be1 0.718 0.500 0.436
Y1 0.089 0.000 0.178
Be2 0.817 0.000 0.634
Au1 0.381 0.500 0.762

***

This record from Alexandria via LeMat-Bulk describes BeZnAu2 at its PBEsol-relaxed geometry. The functional is SCAN.

Calculated values
Energy of formation from the pure elements, eV per atom: -0.0036
M_tot, μB/cell: 0.00
Distance to the lowest polymorph of the same formula, meV/atom: 210
Symmetry: F-43m

a b c (Å): 4.356 4.356 4.356
angles (deg): 60.00 60.00 60.00
Element x y z (fractional)
Au1 0.750 0.750 0.750
Zn1 0.250 0.250 0.250
Be1 0.500 0.500 0.500
Au2 0.000 0.000 0.000

***

This record from Alexandria via LeMat-Bulk describes BeZnAu2 at its PBEsol-relaxed geometry. The functional is SCAN.

Calculated values
Energy of formation from the pure elements, eV per atom: -0.2110
M_tot, μB/cell: 0.00
Distance to the lowest polymorph of the same formula, meV/atom: 3
Symmetry: I4/mmm

a b c (Å): 4.294 4.297 4.300
angles (deg): 119.98 119.95 90.00
Element x y z (fractional)
Au1 0.250 0.250 0.500
Zn1 0.000 0.500 0.000
Au2 0.750 0.750 0.500
Be1 0.500 0.000 0.000

***

This record from Alexandria via LeMat-Bulk describes Be2ZnAu2 at its PBEsol-relaxed geometry. The functional is SCAN.

Calculated values
Energy of formation from the pure elements, eV per atom: -0.2714
M_tot, μB/cell: 0.00
Distance to the lowest polymorph of the same formula, meV/atom: 0
Symmetry: I4/mmm

a b c (Å): 3.268 3.268 6.674
angles (deg): 104.17 104.17 90.00
Element x y z (fractional)
Be1 0.750 0.250 0.500
Au1 0.614 0.614 0.229
Au2 0.386 0.386 0.771
Be2 0.250 0.750 0.500
Zn1 0.000 0.000 0.000

***

This record from Alexandria via LeMat-Bulk describes Be2ZnAu at its PBEsol-relaxed geometry. The functional is SCAN.

Calculated values
Energy of formation from the pure elements, eV per atom: -0.1297
M_tot, μB/cell: 0.00
Symmetry: Cm

a b c (Å): 2.931 4.034 4.512
angles (deg): 109.30 108.95 90.00
Element x y z (fractional)
Be1 0.008 0.978 0.015
Au1 0.263 0.798 0.526
Zn1 0.492 0.459 0.983
Be2 0.738 0.265 0.476

***

This record from Alexandria via LeMat-Bulk describes Be2ZnAu2 at its PBEsol-relaxed geometry. The functional is SCAN.

Calculated values
Energy of formation from the pure elements, eV per atom: -0.2466
M_tot, μB/cell: 0.00
Distance to the lowest polymorph of the same formula, meV/atom: 25
Symmetry: P4/mbm

a b c (Å): 2.861 6.843 6.843
angles (deg): 90.00 90.00 90.00
Element x y z (fractional)
Au1 0.000 0.653 0.153
Zn1 0.000 0.500 0.500
Be1 0.500 0.857 0.357
Be2 0.500 0.143 0.643
Zn2 0.000 0.000 0.000
Be3 0.500 0.357 0.143
Au2 0.000 0.847 0.653
Au3 0.000 0.347 0.847
Be4 0.500 0.643 0.857
Au4 0.000 0.153 0.347

***

This record from Alexandria via LeMat-Bulk describes BeZn2Au at its PBEsol-relaxed geometry. The functional is SCAN.

Calculated values
Energy of formation from the pure elements, eV per atom: -0.1134
M_tot, μB/cell: 0.00
Symmetry: Pmm2

a b c (Å): 3.013 3.249 5.451
angles (deg): 90.00 90.01 90.00
Element x y z (fractional)
Au1 0.000 0.000 0.527
Zn1 0.000 0.000 0.995
Be1 0.500 0.500 0.741
Zn2 0.500 0.500 0.237

***

This record from Alexandria via LeMat-Bulk describes BeZn2Au at its PBEsol-relaxed geometry. The functional is SCAN.

Calculated values
Energy of formation from the pure elements, eV per atom: -0.1362
M_tot, μB/cell: 0.00
Symmetry: I4/mmm

a b c (Å): 3.688 3.690 4.666
angles (deg): 113.29 113.28 90.00
Element x y z (fractional)
Be1 0.000 0.500 0.000
Zn1 0.250 0.250 0.500
Au1 0.500 0.000 0.000
Zn2 0.750 0.750 0.500

***

This record from Alexandria via LeMat-Bulk describes BeZnAu2 at its PBEsol-relaxed geometry. The functional is SCAN.

Calculated values
Energy of formation from the pure elements, eV per atom: -0.2139
M_tot, μB/cell: 0.00
Distance to the lowest polymorph of the same formula, meV/atom: 0
Symmetry: Cm

a b c (Å): 2.954 4.369 4.808
angles (deg): 106.97 107.89 90.00
Element x y z (fractional)
Au1 0.992 0.963 0.984
Be1 0.501 0.449 0.003
Zn1 0.231 0.774 0.463
Au2 0.775 0.314 0.551

***

| no. | raw total energy (eV per atom) |
| --- | --- |
| 1 | -47.43 |
| 2 | -52.71 |
| 3 | -52.60 |
| 4 | -26.75 |
| 5 | -39.05 |
| 6 | -39.26 |
| 7 | -32.38 |
| 8 | -22.97 |
| 9 | -32.35 |
| 10 | -25.25 |
| 11 | -25.27 |
| 12 | -39.26 |